The following is a GGA-PBE calculation of crystalline SmEuAlCu at its relaxed geometry, from Alexandria.

```
SmEuAlCu
1.0
7.352 0.000 0.000
0.000 7.352 0.000
0.000 0.000 7.352
Sm Eu Al Cu
4 4 4 4
Direct
0.000 0.000 0.000
0.000 0.500 0.500
0.500 0.000 0.500
0.500 0.500 0.000
0.000 0.000 0.500
0.000 0.500 0.000
0.500 0.000 0.000
0.500 0.500 0.500
0.250 0.250 0.250
0.250 0.750 0.750
0.750 0.250 0.750
0.750 0.750 0.250
0.250 0.250 0.750
0.250 0.750 0.250
0.750 0.250 0.250
0.750 0.750 0.750
```

Summary:
- Space-group type: F-43m
- Formation energy from the elements: -63 kJ/mol of formula units
- Crystal system: cubic